Entry 1:
Computed, not measured: a geometry-optimized TaI2Br8 structure at the GGA-PBE level of DFT.

a = 9.294 Å, b = 9.294 Å, c = 7.919 Å
α = 109.59°, β = 109.59°, γ = 47.43°
Atoms (fractional coordinates):
Ta  0.000  0.000  0.000
I  0.254  0.254  0.468
I  0.746  0.746  0.532
Br  0.073  0.073  0.357
Br  0.136  0.666  0.025
Br  0.334  0.864  0.975
Br  0.415  0.415  0.561
Br  0.585  0.585  0.439
Br  0.666  0.136  0.025
Br  0.864  0.334  0.975
Br  0.927  0.927  0.643

Properties
density = 3.804 g cm⁻³
uncorrected energy = -3.06 eV per atom
raw formation energy = -0.481 eV per atom
V = 42.62 Å³ per atom



Entry 2:
Computed, not measured: a geometry-optimized Ta2I3Br4 structure at the GGA-PBE level of DFT.

a = 9.431 Å, b = 9.431 Å, c = 7.249 Å
α = 103.79°, β = 103.79°, γ = 85.48°
Atoms (fractional coordinates):
Ta  0.060  0.359  0.431
Ta  0.359  0.060  0.931
Ta  0.641  0.940  0.069
Ta  0.940  0.641  0.569
I  0.066  0.934  0.750
I  0.140  0.616  0.331
I  0.384  0.860  0.169
I  0.616  0.140  0.831
I  0.860  0.384  0.669
I  0.934  0.066  0.250
Br  0.181  0.263  0.089
Br  0.182  0.540  0.767
Br  0.263  0.181  0.589
Br  0.460  0.818  0.733
Br  0.540  0.182  0.267
Br  0.737  0.819  0.411
Br  0.818  0.460  0.233
Br  0.819  0.737  0.911

Properties
density = 5.802 g cm⁻³
uncorrected energy = -4.38 eV per atom
raw formation energy = -0.486 eV per atom
V = 33.78 Å³ per atom



Entry 3:
Computed, not measured: a geometry-optimized Ta2I8Br structure at the GGA-PBE level of DFT.

a = 8.149 Å, b = 8.149 Å, c = 8.466 Å
α = 91.94°, β = 91.94°, γ = 108.51°
Atoms (fractional coordinates):
Ta  0.108  0.108  0.299
Ta  0.892  0.892  0.701
I  0.125  0.718  0.711
I  0.193  0.193  0.616
I  0.282  0.875  0.289
I  0.373  0.373  0.207
I  0.627  0.627  0.793
I  0.718  0.125  0.711
I  0.807  0.807  0.384
I  0.875  0.282  0.289
Br  0.000  0.000  0.000

Properties
density = 4.546 g cm⁻³
uncorrected energy = -3.85 eV per atom
raw formation energy = -0.411 eV per atom
V = 48.38 Å³ per atom



Entry 4:
Computed, not measured: a geometry-optimized TaI3Br2 structure at the GGA-PBE level of DFT.

a = 8.056 Å, b = 8.056 Å, c = 9.048 Å
α = 104.81°, β = 104.81°, γ = 72.98°
Atoms (fractional coordinates):
Ta  0.088  0.912  0.750
Ta  0.912  0.088  0.250
I  0.168  0.832  0.062
I  0.168  0.832  0.438
I  0.376  0.624  0.750
I  0.624  0.376  0.250
I  0.832  0.168  0.562
I  0.832  0.168  0.938
Br  0.135  0.266  0.342
Br  0.266  0.135  0.842
Br  0.734  0.865  0.158
Br  0.865  0.734  0.658

Properties
density = 4.500 g cm⁻³
uncorrected energy = -3.90 eV per atom
raw formation energy = -0.589 eV per atom
V = 44.37 Å³ per atom



Entry 5:
Computed, not measured: a geometry-optimized Ta2IBr structure at the GGA-PBE level of DFT.

a = 6.745 Å, b = 6.745 Å, c = 6.745 Å
α = 90.00°, β = 90.00°, γ = 90.00°
Atoms (fractional coordinates):
Ta  0.250  0.250  0.250
Ta  0.250  0.250  0.750
Ta  0.250  0.750  0.250
Ta  0.250  0.750  0.750
Ta  0.750  0.250  0.250
Ta  0.750  0.250  0.750
Ta  0.750  0.750  0.250
Ta  0.750  0.750  0.750
I  0.000  0.000  0.000
I  0.000  0.500  0.500
I  0.500  0.000  0.500
I  0.500  0.500  0.000
Br  0.000  0.000  0.500
Br  0.000  0.500  0.000
Br  0.500  0.000  0.000
Br  0.500  0.500  0.500

Properties
density = 12.309 g cm⁻³
uncorrected energy = -5.71 eV per atom
raw formation energy = 1.026 eV per atom
V = 19.18 Å³ per atom



Entry 6:
Computed, not measured: a geometry-optimized Ta2IBr structure at the GGA-PBE level of DFT.

a = 4.538 Å, b = 4.538 Å, c = 17.664 Å
α = 90.00°, β = 90.00°, γ = 90.00°
Atoms (fractional coordinates):
Ta  0.217  0.250  0.125
Ta  0.250  0.717  0.375
Ta  0.250  0.783  0.875
Ta  0.283  0.250  0.625
Ta  0.717  0.750  0.625
Ta  0.750  0.217  0.875
Ta  0.750  0.283  0.375
Ta  0.783  0.750  0.125
I  0.000  0.000  0.500
I  0.000  0.500  0.750
I  0.500  0.000  0.250
I  0.500  0.500  0.000
Br  0.000  0.000  0.000
Br  0.000  0.500  0.250
Br  0.500  0.000  0.750
Br  0.500  0.500  0.500

Properties
density = 10.385 g cm⁻³
uncorrected energy = -5.96 eV per atom
raw formation energy = 0.773 eV per atom
V = 22.73 Å³ per atom



Entry 7:
Computed, not measured: a geometry-optimized TaTeI2Br structure at the GGA-PBE level of DFT.

a = 5.520 Å, b = 5.520 Å, c = 5.403 Å
α = 90.00°, β = 90.00°, γ = 90.00°
Atoms (fractional coordinates):
Ta  0.000  0.000  0.000
Te  0.000  0.000  0.500
I  0.000  0.500  0.000
I  0.500  0.000  0.000
Br  0.500  0.500  0.500

Properties
density = 6.479 g cm⁻³
uncorrected energy = -3.87 eV per atom
raw formation energy = 0.079 eV per atom
V = 32.92 Å³ per atom



Entry 8:
Computed, not measured: a geometry-optimized TaTeI2Br structure at the GGA-PBE level of DFT.

a = 5.604 Å, b = 5.604 Å, c = 5.905 Å
α = 90.00°, β = 90.00°, γ = 90.00°
Atoms (fractional coordinates):
Ta  0.000  0.000  0.000
Te  0.500  0.500  0.000
I  0.000  0.500  0.500
I  0.500  0.000  0.500
Br  0.500  0.500  0.500

Properties
density = 5.751 g cm⁻³
uncorrected energy = -2.46 eV per atom
raw formation energy = 1.498 eV per atom
V = 37.09 Å³ per atom



Entry 9:
Computed, not measured: a geometry-optimized TaTl2I2Br4 structure at the GGA-PBE level of DFT.

a = 7.847 Å, b = 7.847 Å, c = 7.519 Å
α = 117.70°, β = 117.70°, γ = 57.16°
Atoms (fractional coordinates):
Ta  0.000  0.000  0.000
Tl  0.252  0.252  0.806
Tl  0.748  0.748  0.194
I  0.236  0.236  0.306
I  0.764  0.764  0.694
Br  0.207  0.725  0.204
Br  0.275  0.793  0.796
Br  0.725  0.207  0.204
Br  0.793  0.275  0.796

Properties
density = 5.853 g cm⁻³
uncorrected energy = -3.67 eV per atom
raw formation energy = -0.740 eV per atom
V = 36.67 Å³ per atom



Entry 10:
Computed, not measured: a geometry-optimized Zr2TaIBr structure at the GGA-PBE level of DFT.

a = 5.248 Å, b = 5.248 Å, c = 5.699 Å
α = 90.00°, β = 90.00°, γ = 90.00°
Atoms (fractional coordinates):
Zr  0.000  0.500  0.000
Zr  0.500  0.000  0.000
Ta  0.000  0.000  0.500
I  0.500  0.500  0.000
Br  0.500  0.500  0.500

Properties
density = 6.031 g cm⁻³
uncorrected energy = -4.71 eV per atom
raw formation energy = 1.720 eV per atom
V = 31.40 Å³ per atom



Entry 11:
Computed, not measured: a geometry-optimized TbIBr structure at the GGA-PBE level of DFT.

a = 4.000 Å, b = 4.000 Å, c = 16.809 Å
α = 96.72°, β = 90.04°, γ = 120.00°
Atoms (fractional coordinates):
Tb  0.078  0.156  0.236
Tb  0.922  0.844  0.764
I  0.213  0.429  0.640
I  0.787  0.571  0.360
Br  0.291  0.583  0.874
Br  0.709  0.417  0.126

Properties
density = 5.264 g cm⁻³
uncorrected energy = -4.07 eV per atom
raw formation energy = -1.450 eV per atom
V = 38.46 Å³ per atom



Entry 12:
Computed, not measured: a geometry-optimized Tb2I2Br structure at the GGA-PBE level of DFT.

a = 11.496 Å, b = 11.496 Å, c = 8.758 Å
α = 99.49°, β = 99.49°, γ = 20.24°
Atoms (fractional coordinates):
Tb  0.185  0.185  0.419
Tb  0.313  0.313  0.203
Tb  0.687  0.687  0.797
Tb  0.815  0.815  0.581
I  0.090  0.090  0.665
I  0.411  0.411  0.729
I  0.589  0.589  0.271
I  0.910  0.910  0.335
Br  0.189  0.189  0.052
Br  0.811  0.811  0.948

Properties
density = 5.482 g cm⁻³
uncorrected energy = -3.94 eV per atom
raw formation energy = -1.133 eV per atom
V = 39.47 Å³ per atom



Entry 13:
Computed, not measured: a geometry-optimized Tb2IBr structure at the GGA-PBE level of DFT.

a = 4.785 Å, b = 4.785 Å, c = 24.221 Å
α = 90.00°, β = 90.00°, γ = 120.00°
Atoms (fractional coordinates):
Tb  0.000  0.000  0.116
Tb  0.000  0.000  0.884
Tb  0.333  0.667  0.551
Tb  0.333  0.667  0.783
Tb  0.667  0.333  0.217
Tb  0.667  0.333  0.449
I  0.000  0.000  0.500
I  0.333  0.667  0.167
I  0.667  0.333  0.833
Br  0.000  0.000  0.000
Br  0.333  0.667  0.667
Br  0.667  0.333  0.333

Properties
density = 5.443 g cm⁻³
uncorrected energy = -3.60 eV per atom
raw formation energy = -0.484 eV per atom
V = 40.02 Å³ per atom



Entry 14:
Computed, not measured: a geometry-optimized TbIBr2 structure at the GGA-PBE level of DFT.

a = 3.854 Å, b = 12.181 Å, c = 7.776 Å
α = 90.00°, β = 90.00°, γ = 90.00°
Atoms (fractional coordinates):
Tb  0.000  0.000  0.000
Tb  0.500  0.500  0.500
I  0.000  0.500  0.805
I  0.500  0.000  0.305
Br  0.000  0.350  0.368
Br  0.000  0.650  0.368
Br  0.500  0.150  0.868
Br  0.500  0.850  0.868

Properties
density = 4.054 g cm⁻³
uncorrected energy = -4.05 eV per atom
raw formation energy = -1.670 eV per atom
V = 45.64 Å³ per atom



Entry 15:
Computed, not measured: a geometry-optimized TbI2Br structure at the GGA-PBE level of DFT.

a = 4.369 Å, b = 5.622 Å, c = 8.699 Å
α = 88.96°, β = 75.54°, γ = 90.00°
Atoms (fractional coordinates):
Tb  0.000  0.000  0.000
I  0.374  0.993  0.254
I  0.626  0.007  0.746
Br  0.000  0.500  0.000

Properties
density = 3.955 g cm⁻³
uncorrected energy = -3.88 eV per atom
raw formation energy = -1.528 eV per atom
V = 51.71 Å³ per atom



Entry 16:
Computed, not measured: a geometry-optimized Tb3I7Br structure at the GGA-PBE level of DFT.

a = 8.616 Å, b = 8.616 Å, c = 10.839 Å
α = 126.55°, β = 126.55°, γ = 60.08°
Atoms (fractional coordinates):
Tb  0.000  0.000  0.000
Tb  0.000  0.496  0.000
Tb  0.496  0.000  0.000
I  0.049  0.554  0.774
I  0.444  0.444  0.226
I  0.444  0.948  0.227
I  0.554  0.049  0.774
I  0.555  0.555  0.775
I  0.948  0.444  0.227
I  0.950  0.950  0.236
Br  0.064  0.064  0.797

Properties
density = 4.740 g cm⁻³
uncorrected energy = -3.78 eV per atom
raw formation energy = -1.383 eV per atom
V = 46.02 Å³ per atom



Entry 17:
Computed, not measured: a geometry-optimized Tb3I7Br structure at the GGA-PBE level of DFT.

a = 8.630 Å, b = 8.630 Å, c = 7.651 Å
α = 90.00°, β = 90.00°, γ = 120.00°
Atoms (fractional coordinates):
Tb  0.003  0.501  0.000
Tb  0.499  0.501  0.000
Tb  0.499  0.997  0.000
I  0.168  0.336  0.767
I  0.168  0.832  0.767
I  0.337  0.168  0.232
I  0.664  0.832  0.767
I  0.667  0.333  0.758
I  0.832  0.168  0.232
I  0.832  0.663  0.232
Br  0.333  0.667  0.208

Properties
density = 4.863 g cm⁻³
uncorrected energy = -3.78 eV per atom
raw formation energy = -1.383 eV per atom
V = 44.86 Å³ per atom



Entry 18:
Computed, not measured: a geometry-optimized Tb2I2Br3 structure at the GGA-PBE level of DFT.

a = 4.455 Å, b = 4.439 Å, c = 14.812 Å
α = 90.00°, β = 98.68°, γ = 90.00°
Atoms (fractional coordinates):
Tb  0.099  0.000  0.197
Tb  0.901  0.000  0.803
I  0.409  0.500  0.820
I  0.591  0.500  0.180
Br  0.000  0.000  0.000
Br  0.188  0.000  0.373
Br  0.812  0.000  0.627

Properties
density = 4.653 g cm⁻³
uncorrected energy = -3.85 eV per atom
raw formation energy = -1.365 eV per atom
V = 41.36 Å³ per atom



Entry 19:
Computed, not measured: a geometry-optimized TbIBr3 structure at the GGA-PBE level of DFT.

a = 8.016 Å, b = 8.016 Å, c = 8.016 Å
α = 99.80°, β = 113.95°, γ = 115.08°
Atoms (fractional coordinates):
Tb  0.249  0.250  0.499
Tb  0.751  0.750  0.501
I  0.741  0.999  0.242
I  0.757  0.499  0.758
Br  0.212  0.001  0.711
Br  0.249  0.516  0.765
Br  0.249  0.984  0.233
Br  0.289  0.501  0.289
Br  0.751  0.016  0.767
Br  0.751  0.484  0.235

Properties
density = 4.496 g cm⁻³
uncorrected energy = -3.43 eV per atom
raw formation energy = -1.194 eV per atom
V = 38.82 Å³ per atom



Entry 20:
Computed, not measured: a geometry-optimized TbIBr structure at the GGA-PBE level of DFT.

a = 4.028 Å, b = 6.940 Å, c = 8.702 Å
α = 109.35°, β = 102.81°, γ = 90.01°
Atoms (fractional coordinates):
Tb  0.249  0.259  0.498
Tb  0.751  0.741  0.502
I  0.375  0.693  0.761
I  0.625  0.307  0.239
Br  0.148  0.829  0.286
Br  0.852  0.171  0.714

Properties
density = 5.443 g cm⁻³
uncorrected energy = -4.03 eV per atom
raw formation energy = -1.412 eV per atom
V = 37.19 Å³ per atom



Entry 21:
Computed, not measured: a geometry-optimized TbI2Br structure at the GGA-PBE level of DFT.

a = 3.925 Å, b = 12.700 Å, c = 7.747 Å
α = 90.00°, β = 90.00°, γ = 90.00°
Atoms (fractional coordinates):
Tb  0.000  0.000  0.000
Tb  0.500  0.500  0.500
I  0.000  0.341  0.345
I  0.000  0.659  0.345
I  0.500  0.159  0.845
I  0.500  0.841  0.845
Br  0.000  0.500  0.767
Br  0.500  0.000  0.267

Properties
density = 4.237 g cm⁻³
uncorrected energy = -3.86 eV per atom
raw formation energy = -1.514 eV per atom
V = 48.27 Å³ per atom



Entry 22:
Computed, not measured: a geometry-optimized TbIBr structure at the GGA-PBE level of DFT.

a = 4.024 Å, b = 4.024 Å, c = 7.821 Å
α = 90.00°, β = 90.00°, γ = 120.00°
Atoms (fractional coordinates):
Tb  0.000  0.000  0.000
I  0.333  0.667  0.743
Br  0.667  0.333  0.227

Properties
density = 5.538 g cm⁻³
uncorrected energy = -4.02 eV per atom
raw formation energy = -1.402 eV per atom
V = 36.55 Å³ per atom



Entry 23:
Computed, not measured: a geometry-optimized TbIBr2 structure at the GGA-PBE level of DFT.

a = 8.293 Å, b = 12.327 Å, c = 7.509 Å
α = 90.00°, β = 118.53°, γ = 90.00°
Atoms (fractional coordinates):
Tb  0.000  0.090  0.000
Tb  0.000  0.910  0.500
Tb  0.500  0.410  0.500
Tb  0.500  0.590  0.000
I  0.266  0.410  0.713
I  0.266  0.590  0.213
I  0.766  0.090  0.213
I  0.766  0.910  0.713
Br  0.208  0.067  0.793
Br  0.208  0.933  0.293
Br  0.258  0.251  0.237
Br  0.258  0.749  0.737
Br  0.708  0.433  0.293
Br  0.708  0.567  0.793
Br  0.758  0.249  0.737
Br  0.758  0.751  0.237

Properties
density = 4.389 g cm⁻³
uncorrected energy = -4.07 eV per atom
raw formation energy = -1.688 eV per atom
V = 42.15 Å³ per atom



Entry 24:
Computed, not measured: a geometry-optimized Tb2IBr structure at the GGA-PBE level of DFT.

a = 3.714 Å, b = 3.714 Å, c = 28.165 Å
α = 90.00°, β = 90.00°, γ = 120.00°
Atoms (fractional coordinates):
Tb  0.000  0.000  0.000
Tb  0.000  0.000  0.168
Tb  0.333  0.667  0.667
Tb  0.333  0.667  0.835
Tb  0.667  0.333  0.333
Tb  0.667  0.333  0.502
I  0.000  0.000  0.418
I  0.333  0.667  0.085
I  0.667  0.333  0.751
Br  0.000  0.000  0.583
Br  0.333  0.667  0.250
Br  0.667  0.333  0.916

Properties
density = 7.766 g cm⁻³
uncorrected energy = -3.99 eV per atom
raw formation energy = -0.869 eV per atom
V = 28.04 Å³ per atom



Entry 25:
Computed, not measured: a geometry-optimized TcI5Br structure at the GGA-PBE level of DFT.

a = 9.114 Å, b = 10.973 Å, c = 7.624 Å
α = 90.00°, β = 90.00°, γ = 90.00°
Atoms (fractional coordinates):
Tc  0.000  0.000  0.000
Tc  0.500  0.500  0.500
I  0.000  0.000  0.351
I  0.000  0.235  0.077
I  0.000  0.765  0.077
I  0.233  0.000  0.815
I  0.267  0.500  0.315
I  0.500  0.265  0.577
I  0.500  0.500  0.851
I  0.500  0.735  0.577
I  0.733  0.500  0.315
I  0.767  0.000  0.815
Br  0.000  0.500  0.955
Br  0.500  0.000  0.455

Properties
density = 3.539 g cm⁻³
uncorrected energy = -2.77 eV per atom
raw formation energy = 0.053 eV per atom
V = 54.46 Å³ per atom